# MoAuF2, optimized geometry, DFT GGA+U
# Crystal system ... cubic
# E_tot ... -63.5 eV/cell
# Total magnetic moment ... 17.66 Bohr magnetons per cell
# Calculated volume ... 15.2 A^3/atom
data_MoAuF2
_chemical_formula_sum 'Mo4 Au4 F8'
_space_group_name_H-M_alt 'F m -3 m'
_space_group_IT_number 225
_space_group_name_Hall '-F 4 2 3'
_cell_length_a 6.244
_cell_length_b 6.244
_cell_length_c 6.244
_cell_angle_alpha 90.00
_cell_angle_beta 90.00
_cell_angle_gamma 90.00
loop_
_atom_site_label
_atom_site_fract_x
_atom_site_fract_y
_atom_site_fract_z
_atom_site_occupancy
Mo1 0.000 0.000 0.000 1
Au1 0.000 0.000 0.500 1
F1 0.250 0.250 0.250 1